A relaxed structure of KNa2AlAg, computed with PBE-GGA.

a = 5.880 Å, b = 5.880 Å, c = 5.038 Å
α = 90.00°, β = 90.00°, γ = 90.00°
Space group P4/mmm (No. 123)
One atom of each set of equivalent atoms:
K1 0.000 0.000 0.000
Na1 0.000 0.500 0.500
Al1 0.500 0.500 0.500
Ag1 0.500 0.500 0.000

Magnetization   0.000 μB per atom
Polymorph energy (0 for the lowest one)   43 meV/atom
Calculated formation energy   0.1445 eV/atom

A relaxed structure of Er4Tm3ScS8, computed with PBE-GGA.

a = 7.6709 Å, b = 7.6709 Å, c = 18.8150 Å
α = 90.00°, β = 90.00°, γ = 120.00°
Space group R-3m (No. 166, hexagonal axes)
One atom of each set of equivalent atoms:
Er1 0.0000 0.0000 0.0000
Er2 0.0000 0.5000 0.0000
Tm1 0.0000 0.5000 0.5000
Sc1 0.0000 0.0000 0.5000
S1 0.0000 0.0000 0.2492
S2 0.0042 0.5021 0.2482

Magnetization   0.000 μB per atom
Formation energy (no corrections)   -1926 meV/atom